The following is a DFT calculation (PBE+U) of a geometry-optimized VBiO2F structure.

abc: 4.445 4.445 4.519
angles: 90.00 90.00 90.00
Positions (direct):
V (0.000, 0.000, 0.000)
Bi (0.500, 0.500, 0.500)
O (0.000, 0.500, 0.500)
O (0.500, 0.000, 0.500)
F (0.500, 0.500, 0.000)

- D(E_F) (states/eV/cell) = 2.96
- E_tot (eV for the cell shown) = -26.51